PBE-GGA CoNi2Os, relaxed; calculated total energy = -29.3 eV for the cell shown; M_tot = 0.642 μB/atom; energy above the lowest structure with this stoichiometry = 41.7 meV/atom; energy relative to the elements = 141 meV per atom; mass density = 12.770 g cm⁻³
1.0
4.4856 0.0135 0.0000
-1.6366 4.1764 0.0000
0.0000 0.0000 2.5413
Ni Co Os
2 1 1
direct
0.0000 0.0000 0.0000
0.5000 0.5000 0.0000
0.0000 0.5000 0.5000
0.5000 0.0000 0.5000

***

PBE-GGA KPb2F, relaxed; energy relative to the elements, uncorrected = -0.667 eV per atom; calculated total energy = -26.1 eV for the cell shown; M_tot = 0.000 μB/atom; energy above the lowest structure with this stoichiometry = 0.0 meV/atom; mass density = 4.985 g cm⁻³
1.0
6.1838 0.0000 0.0000
0.0000 6.1838 0.0000
3.0919 3.0919 8.2323
F Pb K
2 4 2
direct
0.2500 0.7500 0.5000
0.5000 0.5000 0.0000
0.3749 0.6250 0.2500
0.3750 0.6249 0.7500
0.8750 0.6251 0.7500
0.3751 0.1250 0.2500
0.0000 0.0000 0.0000
0.7500 0.2500 0.5000

***

PBE-GGA SbSICl2, relaxed; energy relative to the elements, uncorrected = -0.029 eV per atom; calculated total energy = -13.6 eV for the cell shown; M_tot = 0.000 μB/atom; energy above the lowest structure with this stoichiometry = 0.0 meV/atom; mass density = 3.964 g cm⁻³
1.0
5.1255 0.0000 0.0000
0.0000 5.1255 0.0000
0.0000 0.0000 5.6072
Cl I S Sb
2 1 1 1
direct
0.5000 0.0000 0.0000
0.0000 0.5000 0.0000
0.5000 0.5000 0.5000
0.0000 0.0000 0.5000
0.0000 0.0000 0.0000

***

PBE-GGA RbGaPb, relaxed; calculated total energy = -15.4 eV for the cell shown; M_tot = 0.000 μB/atom; energy relative to the elements = 7 meV per atom; mass density = 6.158 g cm⁻³
1.0
-0.2914 2.6592 -4.4983
-2.8293 1.5261 4.1300
6.1987 4.8383 2.4587
Rb Pb Ga
2 2 2
direct
0.0000 0.0000 0.2422
0.0000 0.0000 0.7422
0.6667 0.3333 0.9550
0.3333 0.6667 0.4550
0.6667 0.3333 0.5528
0.3333 0.6667 0.0528

***

PBE-GGA YCd5, relaxed; calculated total energy = -12.2 eV for the cell shown; M_tot = 0.000 μB/atom; energy relative to the elements = -191 meV per atom; mass density = 7.691 g cm⁻³
1.0
4.6049 0.0000 0.0000
2.3024 6.5181 0.0000
0.0000 0.0000 4.6826
Cd Y
5 1
direct
0.6945 0.6110 0.0000
0.5358 0.9283 0.5000
0.3610 0.2780 0.0000
0.0277 0.9446 0.0000
0.1865 0.6270 0.5000
0.8611 0.2777 0.5000

***

PBE-GGA Ba2CrHg, relaxed; calculated total energy = -13.1 eV for the cell shown; M_tot = 1.137 μB/atom; energy relative to the elements = 162 meV per atom; mass density = 5.957 g cm⁻³
1.0
-2.1437 4.9765 -2.4722
-4.6628 -0.1845 3.7010
2.0986 2.2725 2.7562
Ba Cr Hg
2 1 1
direct
0.0000 0.0000 0.0000
0.5000 0.5000 0.0000
0.5000 0.0000 0.5000
0.0000 0.5000 0.5000

***

PBE-GGA TbPmPr2Ho4, relaxed; calculated total energy = -37.1 eV for the cell shown; M_tot = 0.000 μB/atom; energy relative to the elements = 20 meV per atom; mass density = 7.895 g cm⁻³
1.0
-2.3629 -0.2647 -4.5332
-3.9841 -2.2690 2.2091
-8.1836 6.7144 3.8735
Pm Tb Pr Ho
1 1 2 4
direct
0.5000 0.5000 0.0000
0.0000 0.5000 0.5000
0.5000 0.0000 0.5000
0.0000 0.0000 0.0000
0.5000 0.7492 0.2511
0.5000 0.2508 0.7489
0.0000 0.2486 0.2515
0.0000 0.7514 0.7485

***

PBE-GGA CsBa2Pb2, relaxed; calculated total energy = -27.5 eV for the cell shown; M_tot = 0.000 μB/atom; energy above the lowest structure with this stoichiometry = 7.8 meV/atom; energy relative to the elements = -329 meV per atom; mass density = 6.210 g cm⁻³
1.0
-5.6061 7.4320 4.1223
-8.0107 -6.2704 0.4105
1.1824 -1.2569 3.8740
Ba Pb Cs
4 4 2
direct
0.8346 0.6654 0.0000
0.1654 0.3346 0.0000
0.3346 0.8346 0.0000
0.6654 0.1654 0.0000
0.6239 0.8761 0.5000
0.8761 0.3761 0.5000
0.3761 0.1239 0.5000
0.1239 0.6239 0.5000
0.5000 0.5000 0.0000
0.0000 0.0000 0.0000

***

PBE-GGA CaCu2, relaxed; calculated total energy = -20.4 eV for the cell shown; M_tot = 0.000 μB/atom; energy relative to the elements = -1 meV per atom; mass density = 4.647 g cm⁻³
1.0
1.9146 -7.3056 0.0000
1.9146 7.3056 0.0000
0.0000 0.0000 4.2702
Cu Ca
4 2
direct
0.7504 0.2496 0.2500
0.2496 0.7504 0.7500
0.8535 0.1465 0.7500
0.1465 0.8535 0.2500
0.4054 0.5946 0.2500
0.5946 0.4054 0.7500

***

PBE-GGA Pr3MgHg2, relaxed; calculated total energy = -18.6 eV for the cell shown; M_tot = 0.172 μB/atom; energy above the lowest structure with this stoichiometry = 6.6 meV/atom; energy relative to the elements = -350 meV per atom; mass density = 8.050 g cm⁻³
1.0
3.8940 0.0000 0.0000
0.0000 3.8940 0.0000
0.0000 0.0000 11.5393
Hg Pr Mg
2 3 1
direct
0.5000 0.5000 0.1720
0.5000 0.5000 0.8280
0.0000 0.0000 0.0000
0.0000 0.0000 0.3309
0.0000 0.0000 0.6691
0.5000 0.5000 0.5000

***

PBE-GGA Zr2TeN2, relaxed; energy relative to the elements, uncorrected = -1.287 eV per atom; calculated total energy = -43.3 eV for the cell shown; M_tot = 0.000 μB/atom; mass density = 6.298 g cm⁻³
1.0
3.8278 0.0000 0.0000
0.0000 3.8278 0.0000
1.9139 1.9139 6.0833
Te Zr N
1 2 2
direct
0.0000 0.0000 0.0000
0.3301 0.3301 0.3397
0.6699 0.6699 0.6603
0.7500 0.2500 0.5000
0.2500 0.7500 0.5000

***

PBE-GGA ErPHRh2, relaxed; calculated total energy = -65.1 eV for the cell shown; M_tot = 0.000 μB/atom; mass density = 9.752 g cm⁻³
1.0
3.7455 0.0000 0.0000
-1.8727 5.2283 0.0000
0.0000 0.0000 7.0443
P Rh Er H
2 4 2 2
direct
0.7260 0.4520 0.7500
0.2740 0.5480 0.2500
0.8399 0.6799 0.0540
0.1601 0.3201 0.9460
0.8399 0.6799 0.4460
0.1601 0.3201 0.5540
0.4457 0.8914 0.7500
0.5543 0.1086 0.2500
0.0000 0.0000 0.5000
0.0000 0.0000 0.0000

***

PBE-GGA Mn5Co6Si, relaxed; energy relative to the elements, uncorrected = -0.145 eV per atom; calculated total energy = -95.6 eV for the cell shown; M_tot = 1.747 μB/atom; mass density = 7.921 g cm⁻³
1.0
3.8624 -0.0025 -1.0821
-2.8920 5.6236 -2.9068
-0.1454 -0.8070 6.9113
Si Co Mn
1 6 5
direct
0.0000 0.0000 0.0000
0.7524 0.5870 0.9178
0.2476 0.0822 0.4130
0.2476 0.4130 0.0822
0.7524 0.9178 0.5870
0.7453 0.2455 0.2455
0.2547 0.7545 0.7545
0.5000 0.1669 0.8331
0.5000 0.5000 0.5000
0.0000 0.6662 0.3338
0.0000 0.3338 0.6662
0.5000 0.8331 0.1669

***

PBE-GGA Dy4Mg3Zn, relaxed; calculated total energy = -25.6 eV for the cell shown; M_tot = 0.000 μB/atom; energy relative to the elements = -140 meV per atom; mass density = 6.289 g cm⁻³
1.0
3.6756 0.0000 0.0000
0.0000 3.6756 0.0000
0.0000 0.0000 15.4067
Dy Mg Zn
4 3 1
direct
0.0000 0.0000 0.3704
0.0000 0.0000 0.1107
0.0000 0.0000 0.6296
0.0000 0.0000 0.8893
0.5000 0.5000 0.5000
0.5000 0.5000 0.7574
0.5000 0.5000 0.2426
0.5000 0.5000 0.0000

***

PBE-GGA NdSmSe2, relaxed; energy relative to the elements, uncorrected = -1.615 eV per atom; calculated total energy = -22.9 eV for the cell shown; M_tot = 0.000 μB/atom; energy above the lowest structure with this stoichiometry = 214.1 meV/atom; mass density = 7.817 g cm⁻³
1.0
-4.8097 0.6243 -1.7073
-3.1729 -4.0363 -0.2800
-3.9565 -0.3910 3.2605
Se Sm Nd
2 1 1
direct
0.7500 0.7500 0.7500
0.2500 0.2500 0.2500
0.0000 0.0000 0.0000
0.5000 0.5000 0.5000

***

PBE-GGA Se2SBrN, relaxed; energy relative to the elements, uncorrected = 1.295 eV per atom; calculated total energy = -14.6 eV for the cell shown; M_tot = 0.000 μB/atom; energy above the lowest structure with this stoichiometry = 220.0 meV/atom; mass density = 5.146 g cm⁻³
1.0
-1.7931 -2.2737 3.5350
1.2307 -3.9588 -1.9220
3.8587 0.1900 2.0795
Se N Br S
2 1 1 1
direct
0.0000 0.5000 0.0000
0.5000 0.0000 0.0000
0.0000 0.0000 0.0000
0.0000 0.0000 0.5000
0.5000 0.5000 0.5000

***

PBE-GGA Ac2Nd3SmSe6, relaxed; energy relative to the elements, uncorrected = -1.834 eV per atom; calculated total energy = -70.2 eV for the cell shown; M_tot = 0.000 μB/atom; mass density = 7.433 g cm⁻³
1.0
7.4573 -0.0141 -0.0049
-3.7391 6.4522 -0.0049
-1.2453 -2.1562 7.0256
Ac Se Nd Sm
2 6 3 1
direct
0.6656 0.3344 0.0000
0.3344 0.6656 0.0000
0.5919 0.9153 0.7440
0.7649 0.7649 0.2614
0.2351 0.2351 0.7386
0.9153 0.5919 0.7440
0.0847 0.4081 0.2560
0.4081 0.0847 0.2560
0.8290 0.1710 0.5000
0.5000 0.5000 0.5000
0.1710 0.8290 0.5000
0.0000 0.0000 0.0000

***

PBE-GGA CsYScAu2, relaxed; calculated total energy = -18.9 eV for the cell shown; M_tot = 0.000 μB/atom; energy relative to the elements = 265 meV per atom; mass density = 6.685 g cm⁻³
1.0
-4.9349 2.1184 -0.6984
-1.1776 -0.9680 5.3845
1.9175 4.8952 1.2994
Y Sc Au Cs
1 1 2 1
direct
0.0000 0.5000 0.0000
0.0000 0.0000 0.0000
0.0000 0.0000 0.5000
0.5000 0.0000 0.0000
0.5000 0.5000 0.5000

***

PBE-GGA Pm2Dy4Sc3, relaxed; calculated total energy = -46.3 eV for the cell shown; M_tot = 0.000 μB/atom; energy above the lowest structure with this stoichiometry = 0.0 meV/atom; energy relative to the elements = 64 meV per atom; mass density = 6.579 g cm⁻³
1.0
3.5044 0.0000 0.0000
-1.7522 3.0349 0.0000
0.0000 0.0000 25.5068
Pm Sc Dy
2 3 4
direct
0.6667 0.3333 0.8730
0.6667 0.3333 0.0862
0.0000 0.0000 0.9811
0.0000 0.0000 0.3276
0.6667 0.3333 0.6509
0.6667 0.3333 0.2250
0.6667 0.3333 0.4322
0.0000 0.0000 0.7549
0.0000 0.0000 0.5464

***

PBE-GGA Si3Tc, relaxed; energy relative to the elements, uncorrected = -0.083 eV per atom; calculated total energy = -27.0 eV for the cell shown; M_tot = 0.000 μB/atom; energy above the lowest structure with this stoichiometry = 100.5 meV/atom; mass density = 5.581 g cm⁻³
1.0
4.4919 0.0006 -0.0002
3.4931 2.8241 -0.0002
0.2993 0.1059 4.2752
Tc Si
1 3
direct
0.0000 0.0000 0.0000
0.2621 0.2621 0.2396
0.5000 0.5000 0.5000
0.7379 0.7379 0.7604

***

PBE-GGA CuTcPt2, relaxed; calculated total energy = -26.9 eV for the cell shown; M_tot = 0.013 μB/atom; energy above the lowest structure with this stoichiometry = 92.2 meV/atom; energy relative to the elements = -96 meV per atom; mass density = 15.728 g cm⁻³
1.0
-2.6403 4.7766 -7.1076
-0.4134 3.5702 -8.2091
-2.8375 2.2468 -8.1979
Cu Pt Tc
1 2 1
direct
0.7500 0.7500 0.7500
0.4989 0.4989 0.4989
0.0011 0.0011 0.0011
0.2500 0.2500 0.2500

***

PBE-GGA BaLaHg3, relaxed; calculated total energy = -20.3 eV for the cell shown; M_tot = 0.000 μB/atom; energy above the lowest structure with this stoichiometry = 0.0 meV/atom; energy relative to the elements = -478 meV per atom; mass density = 9.092 g cm⁻³
1.0
4.0503 0.0000 -0.5577
0.0000 5.1163 0.0000
0.0662 0.0000 15.4681
Hg La Ba
6 2 2
direct
0.3159 0.7500 0.6318
0.6247 0.7500 0.2494
0.4743 0.2500 0.9486
0.5257 0.7500 0.0514
0.6841 0.2500 0.3682
0.3753 0.2500 0.7506
0.7917 0.2500 0.5833
0.2083 0.7500 0.4167
0.0763 0.2500 0.1525
0.9237 0.7500 0.8475

***

PBE-GGA Be8Au, relaxed; calculated total energy = -32.8 eV for the cell shown; M_tot = 0.000 μB/atom; energy relative to the elements = 32 meV per atom; mass density = 5.360 g cm⁻³
1.0
-4.7475 -0.0622 -2.3240
3.7230 -3.0767 2.1487
-1.6906 2.0378 4.5753
Be Au
8 1
direct
0.3461 0.0000 0.3461
0.6539 0.0000 0.6539
0.0000 0.6539 0.6539
0.6776 0.3224 0.0000
0.3224 0.6776 0.0000
0.6776 0.6776 0.3552
0.3224 0.3224 0.6448
0.0000 0.3461 0.3461
0.0000 0.0000 0.0000

***

PBE-GGA HBrF2, relaxed; calculated total energy = -6.5 eV for the cell shown; M_tot = 0.773 μB/atom; energy above the lowest structure with this stoichiometry = 1612.1 meV/atom; mass density = 3.747 g cm⁻³
1.0
2.7896 -3.0731 0.6942
2.4196 0.0927 3.4417
-0.6477 -2.7682 3.1025
F H Br
2 1 1
direct
0.2500 0.2500 0.2500
0.7500 0.7500 0.7500
0.0000 0.0000 0.0000
0.5000 0.5000 0.5000

***

PBE-GGA LiCaScPd, relaxed; calculated total energy = -16.7 eV for the cell shown; M_tot = 0.000 μB/atom; energy relative to the elements = -319 meV per atom; mass density = 3.930 g cm⁻³
1.0
4.9125 0.0000 0.0000
2.4563 4.2544 0.0000
2.4563 1.4181 4.0111
Ca Pd Li Sc
1 1 1 1
direct
0.7500 0.7500 0.7500
0.5000 0.5000 0.5000
0.0000 0.0000 0.0000
0.2500 0.2500 0.2500

***

PBE-GGA PuHfPaRe, relaxed; calculated total energy = -46.1 eV for the cell shown; M_tot = 1.473 μB/atom; energy relative to the elements = 41 meV per atom; mass density = 16.980 g cm⁻³
1.0
4.8789 0.0000 0.0000
2.4394 4.2252 0.0000
2.4394 1.4084 3.9836
Re Pu Hf Pa
1 1 1 1
direct
0.0000 0.0000 0.0000
0.5000 0.5000 0.5000
0.7500 0.7500 0.7500
0.2500 0.2500 0.2500